{
  "formula": "SrPrS2",
  "functional": "GGA-PBE",
  "state": "optimized geometry",
  "raw_formation_energy_mev_per_atom": -2016,
  "relative_energy_mev_per_atom": 34,
  "lattice": [[4.118, 0.000, 0.000], [-2.059, 3.566, 0.000], [0.000, 0.000, 14.135]],
  "species": ["Sr", "Sr", "Pr", "Pr", "S", "S", "S", "S"],
  "fractional_positions": [[0.333, 0.667, 0.250], [0.667, 0.333, 0.750], [0.000, 0.000, 0.000], [0.000, 0.000, 0.500], [0.333, 0.667, 0.620], [0.333, 0.667, 0.880], [0.667, 0.333, 0.120], [0.667, 0.333, 0.380]]
}